A plane-wave DFT calculation with PBE-GGA was carried out for a relaxed Nb3PH crystal.

## Properties
ρ in kg/m³: 7544
SG: No. 221
Total DFT energy (no corrections) in eV/atom: -8.00

Cell: 4.089 4.089 4.089 Å, 90.00 90.00 90.00°
Atoms (fractional coordinates):
Nb  0.000  0.000  0.500
Nb  0.500  0.000  0.000
Nb  0.000  0.500  0.000
H  0.000  0.000  0.000
P  0.500  0.500  0.500